A crystal of Sr2ZrMo relaxed with PBEsol. Source: the Alexandria database, functional SCAN.

The value obtained for the formation energy is 0.448 eV per atom. As for the total energy: -27.0859 eV per atom. Its distance to the lowest polymorph of the same formula is 0.00 eV/f.u. The density of states at the Fermi level is 4.2 states/eV per cell.

The structure belongs to space group P4mm (No. 99); the cell edges are 3.604, 3.604 and 9.294 Å and the angles 90.00°, 90.00° and 90.00°. The distinct sites, in fractional coordinates, are Sr at (0.000, 0.000, 0.000), Sr at (0.500, 0.500, 0.376), Zr at (0.000, 0.000, 0.644) and Mo at (0.500, 0.500, 0.754).

---

A crystal of Sr2ZrMo relaxed with PBEsol. Source: the Alexandria database, functional SCAN.

The value obtained for the formation energy is 0.594 eV per atom. As for the total energy: -26.9395 eV per atom. Its distance to the lowest polymorph of the same formula is 0.59 eV/f.u. The density of states at the Fermi level is 9.2 states/eV per cell.

The structure belongs to space group Immm (No. 71); the cell edges are 3.329, 4.209 and 18.742 Å and the angles 90.00°, 90.00° and 90.00°. The distinct sites, in fractional coordinates, are Sr at (0.000, 0.000, 0.157), Zr at (0.000, 0.500, 0.000) and Mo at (0.000, 0.500, 0.500).

---

A crystal of SrZr2Mo relaxed with PBEsol. Source: the Alexandria database, functional SCAN.

The value obtained for the formation energy is 0.526 eV per atom. As for the total energy: -29.1135 eV per atom. The density of states at the Fermi level is 10.1 states/eV per cell.

The structure belongs to space group Immm (No. 71); the cell edges are 3.302, 5.722 and 10.163 Å and the angles 90.00°, 90.00° and 90.00°. The distinct sites, in fractional coordinates, are Sr at (0.000, 0.000, 0.000), Zr at (0.000, 0.500, 0.205) and Mo at (0.000, 0.000, 0.500).

---

A crystal of SrZrMo relaxed with PBEsol. Source: the Alexandria database, functional SCAN.

The value obtained for the formation energy is 1.253 eV per atom. As for the total energy: -28.0336 eV per atom. Its distance to the lowest polymorph of the same formula is 2.09 eV/f.u. The density of states at the Fermi level is 7.9 states/eV per cell.

The structure belongs to space group F-43m (No. 216); the cell edges are 6.731, 6.731 and 6.731 Å and the angles 90.00°, 90.00° and 90.00°. The distinct sites, in fractional coordinates, are Sr at (0.000, 0.000, 0.000), Zr at (0.000, 0.000, 0.500) and Mo at (0.250, 0.250, 0.250).

---

A crystal of Sr2ZrMo relaxed with PBEsol. Source: the Alexandria database, functional SCAN.

The value obtained for the formation energy is 1.175 eV per atom. As for the total energy: -26.3589 eV per atom. Its distance to the lowest polymorph of the same formula is 2.91 eV/f.u. The density of states at the Fermi level is 12.4 states/eV per cell.

The structure belongs to space group R-3m (No. 166, hexagonal axes); the cell edges are 3.2133, 3.2133 and 34.5527 Å and the angles 90.00°, 90.00° and 120.00°. The distinct sites, in fractional coordinates, are Sr at (0.0000, 0.0000, 0.2425), Zr at (0.0000, 0.0000, 0.0000) and Mo at (0.0000, 0.0000, 0.5000).

---

A crystal of Ta3Mo5 relaxed with PBEsol. Source: the Alexandria database, functional SCAN.

The value obtained for the formation energy is -0.142 eV per atom. As for the total energy: -46.9144 eV per atom. Its distance to the lowest polymorph of the same formula is 0.33 eV/f.u. The density of states at the Fermi level is 7.3 states/eV per cell.

The structure belongs to space group I4mm (No. 107); the cell edges are 4.486, 4.486 and 12.751 Å and the angles 90.00°, 90.00° and 90.00°. The distinct sites, in fractional coordinates, are Ta at (0.000, 0.000, 0.000), Ta at (0.000, 0.500, 0.369), Mo at (0.000, 0.000, 0.242), Mo at (0.000, 0.000, 0.498), Mo at (0.000, 0.000, 0.744) and Mo at (0.000, 0.500, 0.122).